(1)
First-principles (PBE) data for a relaxed structure of Pm6Dy2TmSc, as listed in the Alexandria database.

Summary:
formation energy	0.1271	eV/atom
magnetic moment	0.000	μB per formula unit

abc: 9.4086 8.8843 8.8843
angles: 117.63 93.52 93.52
Element x y z (fractional)
Pm 0.6133 0.4892 0.7103
Pm 0.8867 0.2897 0.5108
Pm 0.9482 0.8777 0.2333
Pm 0.5518 0.7667 0.1223
Pm 0.8051 0.4387 0.0047
Pm 0.1133 0.7103 0.4892
Pm 0.4482 0.2333 0.8777
Pm 0.6949 0.9953 0.5613
Pm 0.3051 0.0047 0.4387
Pm 0.3867 0.5108 0.2897
Pm 0.0518 0.1223 0.7667
Pm 0.1949 0.5613 0.9953
Tm 0.7500 0.0257 0.9743
Tm 0.2500 0.9743 0.0257
Dy 0.0474 0.3024 0.2038
Dy 0.9526 0.6976 0.7962
Dy 0.4526 0.7962 0.6976
Dy 0.5474 0.2038 0.3024
Sc 0.2500 0.4192 0.5808
Sc 0.7500 0.5808 0.4192

(2)
First-principles (PBE) data for a relaxed structure of Pu2GeTe, as listed in the Alexandria database.

Summary:
energy above the most stable polymorph in this dataset	0.46	eV per formula unit
magnetic moment	10.632	μB per formula unit

abc: 5.1904 5.1904 5.1904
angles: 60.00 60.00 60.00
Element x y z (fractional)
Te 0.0000 0.0000 0.0000
Pu 0.2500 0.2500 0.2500
Pu 0.7500 0.7500 0.7500
Ge 0.5000 0.5000 0.5000